# ThSn4 | the Alexandria database | PBE-GGA | relaxed
data_ThSn4
_chemical_formula_sum 'Th4 Sn16'
_space_group_name_H-M_alt 'I m m a'
_space_group_IT_number 74
_space_group_name_Hall '-I 2b 2'
_cell_length_a 4.7376
_cell_length_b 6.5630
_cell_length_c 17.7171
_cell_angle_alpha 90.00
_cell_angle_beta 90.00
_cell_angle_gamma 90.00
loop_
_atom_site_label
_atom_site_type_symbol
_atom_site_fract_x
_atom_site_fract_y
_atom_site_fract_z
Th1 Th 0.0000 0.2500 0.0938
Sn1 Sn 0.0000 0.0000 0.5000
Sn2 Sn 0.0000 0.0164 0.6938
Sn3 Sn 0.0000 0.2500 0.9029
# relative energy among the computed polymorphs = 0.0000 eV per atom
# raw total energy = -99.56 eV/cell
# DFT formation energy = -292 meV/atom
# crystal system = orthorhombic